The following is a GGA-PBEsol calculation of a relaxed GaPbF3 crystal, from Alexandria via LeMat-Bulk.

raw formation energy = -1.71 eV per atom
total DFT energy (no corrections) = -0.3187 Ry per atom
space-group type = Pm-3m, No. 221

Geometry as POSCAR:
```
GaPbF3
1.0
-0.289 -3.862 1.791
3.440 -1.269 -2.182
2.508 1.296 3.199
Ga F Pb
1 3 1
direct
0.000 0.000 0.000
0.500 0.000 0.000
0.000 0.000 0.500
0.000 0.500 0.000
0.500 0.500 0.500
```

The following is a GGA-PBEsol calculation of a relaxed CsSc3Co crystal, from Alexandria via LeMat-Bulk.

total DFT energy (no corrections) = -0.2840 Ry per atom
E_form = 1835 meV per atom
space-group type = Pm-3m, No. 221

Geometry as POSCAR:
```
CsSc3Co
1.0
5.095 0.000 0.000
0.000 5.095 0.000
0.000 0.000 5.095
Cs Sc Co
1 3 1
direct
0.000 0.000 0.000
0.500 0.000 0.000
0.000 0.000 0.500
0.000 0.500 0.000
0.500 0.500 0.500
```

The following is a GGA-PBEsol calculation of a relaxed K2LiAsF6 crystal, from Alexandria via LeMat-Bulk.

raw formation energy = -2.59 eV per atom
total DFT energy (no corrections) = -0.3439 Ry per atom
space-group type = Fm-3m, No. 225

Geometry as POSCAR:
```
K2LiAsF6
1.0
5.781 0.000 0.000
2.891 5.007 0.000
2.891 1.669 4.720
F K Li As
6 2 1 1
direct
0.251 0.251 0.749
0.749 0.251 0.251
0.251 0.749 0.251
0.749 0.251 0.749
0.251 0.749 0.749
0.749 0.749 0.251
0.750 0.750 0.750
0.250 0.250 0.250
0.500 0.500 0.500
0.000 0.000 0.000
```

The following is a GGA-PBEsol calculation of a relaxed SnC2O4 crystal, from Alexandria via LeMat-Bulk.

raw formation energy = -1.16 eV per atom
total DFT energy (no corrections) = -0.5533 Ry per atom
space-group type = C2/c, No. 15

Geometry as POSCAR:
```
SnC2O4
1.0
-3.098 -4.761 0.791
0.487 -2.932 5.048
-6.360 1.261 3.478
C O Sn
4 8 2
direct
0.492 0.638 0.966
0.508 0.362 0.034
0.096 0.862 0.534
0.904 0.138 0.466
0.787 0.157 0.347
0.876 0.331 0.537
0.256 0.831 0.037
0.744 0.169 0.963
0.213 0.843 0.653
0.124 0.669 0.463
0.291 0.343 0.153
0.709 0.657 0.847
0.893 0.750 0.250
0.107 0.250 0.750
```